Computed, not measured: an optimized crystal structure of NaDyTl3 at the PBE-GGA level of DFT.

Geometry as POSCAR:
```
NaDyTl3
1.0
-4.0162 3.6570 2.1010
-1.9262 -4.4790 4.1141
8.3430 3.1389 2.3773
Tl Na Dy
6 2 2
Direct
0.9898 0.2427 0.4853
0.3878 0.6373 0.2746
0.2064 0.9559 0.9118
0.6122 0.3627 0.7254
0.7936 0.0441 0.0882
0.0102 0.7573 0.5147
0.5971 0.8443 0.6886
0.4029 0.1557 0.3114
0.8124 0.5632 0.1264
0.1876 0.4368 0.8736
```

Summary:
DFT total energy, eV for the cell shown: -26.3
Size of the total moment, μB per cell: 0.00
Symmetry: C2/m (12)

Computed, not measured: an optimized crystal structure of CdIn4Cl at the PBE-GGA level of DFT.

Geometry as POSCAR:
```
CdIn4Cl
1.0
0.0000 4.4168 4.4168
4.4168 0.0000 4.4168
4.4168 4.4168 0.0000
In Cd Cl
4 1 1
Direct
0.3750 0.3750 0.8750
0.3750 0.3750 0.3750
0.3750 0.8750 0.3750
0.8750 0.3750 0.3750
0.7500 0.7500 0.7500
0.0000 0.0000 0.0000
```

Summary:
Size of the total moment, μB per cell: 0.00
ΔE_f (raw), eV per atom: -0.03
Symmetry: F-43m (216)

Computed, not measured: an optimized crystal structure of Tb2SmIn at the PBE-GGA level of DFT.

Geometry as POSCAR:
```
Tb2SmIn
1.0
3.6329 0.0000 0.0000
1.8164 3.1462 0.0000
1.8164 1.0487 10.8722
In Tb Sm
1 2 1
Direct
0.6664 0.6664 0.0007
0.2565 0.2565 0.2304
0.0771 0.0771 0.7688
0.5000 0.5000 0.5000
```

Summary:
Size of the total moment, μB per cell: 0.00
Symmetry: R3m (160)
Distance to the lowest polymorph of the same formula, eV per atom: 0.132